Entry 1:
DFT (GGA-PBE) results for Al3SiNi after structural relaxation.

abc: 6.072 6.072 6.072
angles: 90.00 90.00 90.00
Space group Pm-3m (No. 221)
Symmetry-distinct sites (fractional):
Al 0.000 0.000 0.000 [1 per cell]
Al 0.251 0.251 0.251 [8 per cell]
Si 0.000 0.500 0.500 [3 per cell]
Ni 0.000 0.000 0.500 [3 per cell]

Computed properties:
mass density = 3.732 g/cm3
formation energy (no corrections) = 0.0223 eV per atom
total magnetization = 0.0000 μB per atom
electronic total energy = -66.96 eV per cell
DOS(E_F) = 3.26 states/eV/f.u.
crystal system = cubic

Entry 2:
DFT (GGA-PBE) results for CaPrEu2 after structural relaxation.

abc: 6.142 6.142 4.225
angles: 90.00 90.00 90.00
Space group P4/mmm (No. 123)
Symmetry-distinct sites (fractional):
Ca 0.000 0.000 0.000 [1 per cell]
Pr 0.500 0.500 0.000 [1 per cell]
Eu 0.000 0.500 0.500 [2 per cell]

Computed properties:
ΔE_f = 0.084 eV per atom
mass density = 5.051 g/cm3
total magnetization = 3.6068 μB per atom
electronic total energy = -27.00 eV per cell
DOS(E_F) = 3.85 states/eV/f.u.
crystal system = tetragonal

Entry 3:
DFT (GGA-PBE) results for Ga2ReRu after structural relaxation.

abc: 6.914 6.914 5.321
angles: 90.00 90.00 90.00
Space group I-42d (No. 122)
Symmetry-distinct sites (fractional):
Ga 0.242 0.250 0.125 [8 per cell]
Re 0.000 0.000 0.500 [4 per cell]
Ru 0.000 0.000 0.000 [4 per cell]

Computed properties:
ΔE_f = 0.570 eV per atom
mass density = 11.142 g/cm3
total magnetization = 0.0002 μB per atom
electronic total energy = -101.99 eV per cell
DOS(E_F) = 5.06 states/eV/f.u.
crystal system = tetragonal

Which formula does entry 2 have? CaPrEu2

Please write out number 3 again, unchanged.
DFT (GGA-PBE) results for Ga2ReRu after structural relaxation.

abc: 6.914 6.914 5.321
angles: 90.00 90.00 90.00
Space group I-42d (No. 122)
Symmetry-distinct sites (fractional):
Ga 0.242 0.250 0.125 [8 per cell]
Re 0.000 0.000 0.500 [4 per cell]
Ru 0.000 0.000 0.000 [4 per cell]

Computed properties:
ΔE_f = 0.570 eV per atom
mass density = 11.142 g/cm3
total magnetization = 0.0002 μB per atom
electronic total energy = -101.99 eV per cell
DOS(E_F) = 5.06 states/eV/f.u.
crystal system = tetragonal